! PBE K2BePb, relaxed; values from VASP
! - energy relative to the elements (eV per atom) = 0.260
! - crystal system = tetragonal
! - energy above the lowest structure with this stoichiometry (meV per atom) = 93.4
&SYSTEM
  ibrav = 0, nat = 16, ntyp = 3
/
ATOMIC_SPECIES
K 39.10 K.upf
Be 9.01 Be.upf
Pb 207.20 Pb.upf
CELL_PARAMETERS angstrom
12.857 0.000 0.000
0.000 12.857 0.000
0.000 0.000 4.578
ATOMIC_POSITIONS crystal
K 0.049 0.750 0.125
K 0.250 0.049 0.875
K 0.250 0.451 0.375
K 0.451 0.750 0.625
K 0.549 0.250 0.625
K 0.750 0.549 0.375
K 0.750 0.951 0.875
K 0.951 0.250 0.125
Be 0.000 0.000 0.000
Be 0.000 0.500 0.250
Be 0.500 0.000 0.750
Be 0.500 0.500 0.500
Pb 0.000 0.000 0.500
Pb 0.000 0.500 0.750
Pb 0.500 0.000 0.250
Pb 0.500 0.500 0.000

---

! PBE Rb2BiIr3O12, relaxed; values from VASP
! - crystal system = trigonal
! - ΔE_f (raw) (eV per atom) = -0.888
&SYSTEM
  ibrav = 0, nat = 18, ntyp = 4
/
ATOMIC_SPECIES
Rb 85.47 Rb.upf
Bi 208.98 Bi.upf
Ir 192.22 Ir.upf
O 16.00 O.upf
CELL_PARAMETERS angstrom
3.652 2.109 6.106
-3.652 2.109 6.106
0.000 -4.217 6.106
ATOMIC_POSITIONS crystal
Rb 0.119 0.119 0.119
Rb 0.881 0.881 0.881
Bi 0.500 0.500 0.500
Ir 0.000 0.500 0.500
Ir 0.500 0.000 0.500
Ir 0.500 0.500 0.000
O 0.138 0.589 0.589
O 0.193 0.193 0.583
O 0.193 0.583 0.193
O 0.411 0.411 0.862
O 0.411 0.862 0.411
O 0.417 0.807 0.807
O 0.583 0.193 0.193
O 0.589 0.138 0.589
O 0.589 0.589 0.138
O 0.807 0.417 0.807
O 0.807 0.807 0.417
O 0.862 0.411 0.411

---

! PBE CoTcBr2, relaxed; values from VASP
! - crystal system = monoclinic
! - energy above the lowest structure with this stoichiometry (meV per atom) = 229.9
! - ΔE_f (raw) (eV per atom) = 0.387
&SYSTEM
  ibrav = 0, nat = 4, ntyp = 3
/
ATOMIC_SPECIES
Co 58.93 Co.upf
Tc 98.00 Tc.upf
Br 79.90 Br.upf
CELL_PARAMETERS angstrom
4.123 0.000 0.000
0.000 3.488 0.000
-1.444 0.000 6.738
ATOMIC_POSITIONS crystal
Co 0.000 0.000 0.000
Tc 0.347 0.500 0.962
Br 0.530 0.000 0.716
Br 0.863 0.500 0.225

---

! PBE TaCr2WCl, relaxed; values from VASP
! - crystal system = tetragonal
! - ΔE_f (raw) (eV per atom) = 1.006
&SYSTEM
  ibrav = 0, nat = 5, ntyp = 4
/
ATOMIC_SPECIES
Ta 180.95 Ta.upf
Cr 52.00 Cr.upf
W 183.84 W.upf
Cl 35.45 Cl.upf
CELL_PARAMETERS angstrom
4.110 0.000 0.000
0.000 4.110 0.000
0.000 0.000 4.566
ATOMIC_POSITIONS crystal
Ta 0.000 0.000 0.000
Cr 0.000 0.500 0.500
Cr 0.500 0.000 0.500
W 0.500 0.500 0.000
Cl 0.000 0.000 0.500

---

! PBE Tb6In10Co, relaxed; values from VASP
! - energy relative to the elements (eV per atom) = -0.268
! - crystal system = trigonal
&SYSTEM
  ibrav = 0, nat = 17, ntyp = 3
/
ATOMIC_SPECIES
Tb 158.93 Tb.upf
In 114.82 In.upf
Co 58.93 Co.upf
CELL_PARAMETERS angstrom
9.074 0.000 0.000
-4.537 7.858 0.000
0.000 0.000 6.114
ATOMIC_POSITIONS crystal
Tb 0.000 0.387 0.275
Tb 0.000 0.613 0.725
Tb 0.387 0.000 0.275
Tb 0.387 0.387 0.725
Tb 0.613 0.000 0.725
Tb 0.613 0.613 0.275
In 0.000 0.230 0.791
In 0.000 0.770 0.209
In 0.230 0.000 0.791
In 0.230 0.230 0.209
In 0.333 0.667 0.000
In 0.333 0.667 0.500
In 0.667 0.333 0.000
In 0.667 0.333 0.500
In 0.770 0.000 0.209
In 0.770 0.770 0.791
Co 0.000 0.000 0.500

---

! PBE LiCaPt2, relaxed; values from VASP
! - energy relative to the elements (eV per atom) = -0.661
! - crystal system = tetragonal
! - energy above the lowest structure with this stoichiometry (meV per atom) = 0.0
&SYSTEM
  ibrav = 0, nat = 4, ntyp = 3
/
ATOMIC_SPECIES
Li 6.94 Li.upf
Ca 40.08 Ca.upf
Pt 195.08 Pt.upf
CELL_PARAMETERS angstrom
4.140 0.000 0.000
0.000 4.140 0.000
0.000 0.000 4.042
ATOMIC_POSITIONS crystal
Li 0.000 0.000 0.000
Ca 0.500 0.500 0.000
Pt 0.000 0.500 0.500
Pt 0.500 0.000 0.500

---

! PBE Pr3Tl2Au6, relaxed; values from VASP
! - energy relative to the elements (eV per atom) = -0.394
! - crystal system = tetragonal
&SYSTEM
  ibrav = 0, nat = 11, ntyp = 3
/
ATOMIC_SPECIES
Pr 140.91 Pr.upf
Tl 204.38 Tl.upf
Au 196.97 Au.upf
CELL_PARAMETERS angstrom
-1.983 1.983 18.000
1.983 -1.983 18.000
1.983 1.983 -18.000
ATOMIC_POSITIONS crystal
Pr 0.000 0.000 0.000
Pr 0.188 0.188 0.000
Pr 0.812 0.812 0.000
Tl 0.368 0.368 0.000
Tl 0.632 0.632 0.000
Au 0.066 0.566 0.500
Au 0.273 0.273 0.000
Au 0.434 0.934 0.500
Au 0.566 0.066 0.500
Au 0.727 0.727 0.000
Au 0.934 0.434 0.500

---

! PBE TlNi2, relaxed; values from VASP
! - energy relative to the elements (eV per atom) = 0.274
! - crystal system = cubic
&SYSTEM
  ibrav = 0, nat = 6, ntyp = 2
/
ATOMIC_SPECIES
Tl 204.38 Tl.upf
Ni 58.69 Ni.upf
CELL_PARAMETERS angstrom
0.000 3.559 3.559
3.559 0.000 3.559
3.559 3.559 0.000
ATOMIC_POSITIONS crystal
Tl 0.125 0.125 0.125
Tl 0.875 0.875 0.875
Ni 0.000 0.500 0.500
Ni 0.500 0.000 0.500
Ni 0.500 0.500 0.000
Ni 0.500 0.500 0.500

---

! PBE PuPa2W, relaxed; values from VASP
! - energy relative to the elements (eV per atom) = 0.228
! - crystal system = cubic
! - energy above the lowest structure with this stoichiometry (meV per atom) = 30.6
&SYSTEM
  ibrav = 0, nat = 16, ntyp = 3
/
ATOMIC_SPECIES
Pu 244.00 Pu.upf
Pa 231.04 Pa.upf
W 183.84 W.upf
CELL_PARAMETERS angstrom
7.050 0.000 0.000
0.000 7.050 0.000
0.000 0.000 7.050
ATOMIC_POSITIONS crystal
Pu 0.000 0.000 0.000
Pu 0.000 0.500 0.500
Pu 0.500 0.000 0.500
Pu 0.500 0.500 0.000
Pa 0.250 0.250 0.250
Pa 0.250 0.250 0.750
Pa 0.250 0.750 0.250
Pa 0.250 0.750 0.750
Pa 0.750 0.250 0.250
Pa 0.750 0.250 0.750
Pa 0.750 0.750 0.250
Pa 0.750 0.750 0.750
W 0.000 0.000 0.500
W 0.000 0.500 0.000
W 0.500 0.000 0.000
W 0.500 0.500 0.500

---

! PBE Dy2YEr7, relaxed; values from VASP
! - energy relative to the elements (eV per atom) = 0.053
! - crystal system = orthorhombic
! - energy above the lowest structure with this stoichiometry (meV per atom) = 0.0
&SYSTEM
  ibrav = 0, nat = 10, ntyp = 3
/
ATOMIC_SPECIES
Dy 162.50 Dy.upf
Y 88.91 Y.upf
Er 167.26 Er.upf
CELL_PARAMETERS angstrom
-2.692 3.487 8.276
2.692 -3.487 8.276
2.692 3.487 -8.276
ATOMIC_POSITIONS crystal
Dy 0.199 0.199 0.000
Dy 0.801 0.801 0.000
Y 0.500 0.000 0.500
Er 0.000 0.000 0.000
Er 0.140 0.390 0.749
Er 0.300 0.800 0.500
Er 0.359 0.610 0.749
Er 0.641 0.390 0.251
Er 0.700 0.200 0.500
Er 0.860 0.610 0.251

---

! PBE ReNiIr2, relaxed; values from VASP
! - energy relative to the elements (eV per atom) = 0.170
! - crystal system = orthorhombic
! - energy above the lowest structure with this stoichiometry (meV per atom) = 314.7
&SYSTEM
  ibrav = 0, nat = 8, ntyp = 3
/
ATOMIC_SPECIES
Re 186.21 Re.upf
Ni 58.69 Ni.upf
Ir 192.22 Ir.upf
CELL_PARAMETERS angstrom
2.797 0.000 0.000
0.000 4.429 0.000
0.000 0.000 8.927
ATOMIC_POSITIONS crystal
Re 0.000 0.000 0.000
Re 0.500 0.500 0.500
Ni 0.000 0.000 0.500
Ni 0.500 0.500 0.000
Ir 0.000 0.500 0.230
Ir 0.000 0.500 0.770
Ir 0.500 0.000 0.270
Ir 0.500 0.000 0.730

---

! PBE MgAlHg2, relaxed; values from VASP
! - energy relative to the elements (eV per atom) = -0.028
! - crystal system = trigonal
&SYSTEM
  ibrav = 0, nat = 12, ntyp = 3
/
ATOMIC_SPECIES
Mg 24.30 Mg.upf
Al 26.98 Al.upf
Hg 200.59 Hg.upf
CELL_PARAMETERS angstrom
3.411 0.000 0.000
-1.706 2.954 0.000
0.000 0.000 25.777
ATOMIC_POSITIONS crystal
Mg 0.000 0.000 0.000
Mg 0.333 0.667 0.667
Mg 0.667 0.333 0.333
Al 0.000 0.000 0.500
Al 0.333 0.667 0.167
Al 0.667 0.333 0.833
Hg 0.000 0.000 0.248
Hg 0.000 0.000 0.752
Hg 0.333 0.667 0.419
Hg 0.333 0.667 0.914
Hg 0.667 0.333 0.086
Hg 0.667 0.333 0.581

---

! PBE Hf2ScCr, relaxed; values from VASP
! - energy relative to the elements (eV per atom) = 0.294
! - crystal system = trigonal
! - energy above the lowest structure with this stoichiometry (meV per atom) = 155.2
&SYSTEM
  ibrav = 0, nat = 12, ntyp = 3
/
ATOMIC_SPECIES
Hf 178.49 Hf.upf
Sc 44.96 Sc.upf
Cr 52.00 Cr.upf
CELL_PARAMETERS angstrom
3.187 0.000 0.000
-1.594 2.760 0.000
0.000 0.000 27.672
ATOMIC_POSITIONS crystal
Hf 0.000 0.000 0.236
Hf 0.000 0.000 0.764
Hf 0.333 0.667 0.431
Hf 0.333 0.667 0.903
Hf 0.667 0.333 0.097
Hf 0.667 0.333 0.569
Sc 0.000 0.000 0.000
Sc 0.333 0.667 0.667
Sc 0.667 0.333 0.333
Cr 0.000 0.000 0.500
Cr 0.333 0.667 0.167
Cr 0.667 0.333 0.833

---

! PBE Ga4Co2Ir, relaxed; values from VASP
! - energy relative to the elements (eV per atom) = -0.122
! - crystal system = monoclinic
&SYSTEM
  ibrav = 0, nat = 14, ntyp = 3
/
ATOMIC_SPECIES
Ga 69.72 Ga.upf
Co 58.93 Co.upf
Ir 192.22 Ir.upf
CELL_PARAMETERS angstrom
13.054 0.000 0.000
0.000 2.940 0.000
-2.341 0.000 5.508
ATOMIC_POSITIONS crystal
Ga 0.096 0.000 0.362
Ga 0.152 0.500 0.839
Ga 0.348 0.000 0.161
Ga 0.404 0.500 0.638
Ga 0.596 0.500 0.362
Ga 0.652 0.000 0.839
Ga 0.848 0.500 0.161
Ga 0.904 0.000 0.638
Co 0.235 0.500 0.296
Co 0.265 0.000 0.704
Co 0.735 0.000 0.296
Co 0.765 0.500 0.704
Ir 0.000 0.500 0.000
Ir 0.500 0.000 0.000

---

! PBE BaCrRh2, relaxed; values from VASP
! - energy relative to the elements (eV per atom) = 0.416
! - crystal system = orthorhombic
! - energy above the lowest structure with this stoichiometry (meV per atom) = 331.1
&SYSTEM
  ibrav = 0, nat = 4, ntyp = 3
/
ATOMIC_SPECIES
Ba 137.33 Ba.upf
Cr 52.00 Cr.upf
Rh 102.91 Rh.upf
CELL_PARAMETERS angstrom
3.034 0.000 0.000
0.000 3.734 0.000
0.000 0.000 7.262
ATOMIC_POSITIONS crystal
Ba 0.000 0.000 0.000
Cr 0.500 0.500 0.371
Rh 0.000 0.000 0.502
Rh 0.500 0.500 0.712

---

! PBE TmGa2Ag3, relaxed; values from VASP
! - energy relative to the elements (eV per atom) = -0.222
! - crystal system = orthorhombic
! - energy above the lowest structure with this stoichiometry (meV per atom) = 33.1
&SYSTEM
  ibrav = 0, nat = 12, ntyp = 3
/
ATOMIC_SPECIES
Tm 168.93 Tm.upf
Ga 69.72 Ga.upf
Ag 107.87 Ag.upf
CELL_PARAMETERS angstrom
-2.187 3.992 6.761
2.187 -3.992 6.761
2.187 3.992 -6.761
ATOMIC_POSITIONS crystal
Tm 0.132 0.132 0.000
Tm 0.868 0.868 0.000
Ga 0.154 0.500 0.654
Ga 0.306 0.806 0.500
Ga 0.694 0.194 0.500
Ga 0.846 0.500 0.346
Ag 0.124 0.324 0.799
Ag 0.329 0.000 0.329
Ag 0.475 0.676 0.799
Ag 0.525 0.324 0.201
Ag 0.671 0.000 0.671
Ag 0.876 0.676 0.201

---

! PBE LaHgGeAu, relaxed; values from VASP
! - energy relative to the elements (eV per atom) = -0.465
! - crystal system = cubic
&SYSTEM
  ibrav = 0, nat = 16, ntyp = 4
/
ATOMIC_SPECIES
La 138.91 La.upf
Hg 200.59 Hg.upf
Ge 72.64 Ge.upf
Au 196.97 Au.upf
CELL_PARAMETERS angstrom
7.227 0.000 0.000
0.000 7.227 0.000
0.000 0.000 7.227
ATOMIC_POSITIONS crystal
La 0.000 0.000 0.000
La 0.000 0.500 0.500
La 0.500 0.000 0.500
La 0.500 0.500 0.000
Hg 0.000 0.000 0.500
Hg 0.000 0.500 0.000
Hg 0.500 0.000 0.000
Hg 0.500 0.500 0.500
Ge 0.250 0.250 0.250
Ge 0.250 0.750 0.750
Ge 0.750 0.250 0.750
Ge 0.750 0.750 0.250
Au 0.250 0.250 0.750
Au 0.250 0.750 0.250
Au 0.750 0.250 0.250
Au 0.750 0.750 0.750

---

! PBE Er3Zn2Au3, relaxed; values from VASP
! - energy relative to the elements (eV per atom) = -0.647
! - crystal system = hexagonal
&SYSTEM
  ibrav = 0, nat = 16, ntyp = 3
/
ATOMIC_SPECIES
Er 167.26 Er.upf
Zn 65.41 Zn.upf
Au 196.97 Au.upf
CELL_PARAMETERS angstrom
8.471 0.000 0.000
-4.236 7.336 0.000
0.000 0.000 5.586
ATOMIC_POSITIONS crystal
Er 0.000 0.272 0.250
Er 0.000 0.728 0.750
Er 0.272 0.000 0.250
Er 0.272 0.272 0.750
Er 0.728 0.000 0.750
Er 0.728 0.728 0.250
Zn 0.333 0.667 0.000
Zn 0.333 0.667 0.500
Zn 0.667 0.333 0.000
Zn 0.667 0.333 0.500
Au 0.000 0.386 0.750
Au 0.000 0.614 0.250
Au 0.386 0.000 0.750
Au 0.386 0.386 0.250
Au 0.614 0.000 0.250
Au 0.614 0.614 0.750

---

! PBE CePr2Tm3Se6, relaxed; values from VASP
! - crystal system = monoclinic
! - ΔE_f (raw) (eV per atom) = -1.763
&SYSTEM
  ibrav = 0, nat = 12, ntyp = 4
/
ATOMIC_SPECIES
Ce 140.12 Ce.upf
Pr 140.91 Pr.upf
Tm 168.93 Tm.upf
Se 78.96 Se.upf
CELL_PARAMETERS angstrom
9.113 -2.027 0.000
9.113 2.027 0.000
-2.323 0.000 8.114
ATOMIC_POSITIONS crystal
Ce 0.000 0.000 0.000
Pr 0.334 0.334 0.668
Pr 0.666 0.666 0.332
Tm 0.000 0.000 0.500
Tm 0.332 0.332 0.165
Tm 0.668 0.668 0.835
Se 0.162 0.162 0.597
Se 0.171 0.171 0.070
Se 0.495 0.495 0.260
Se 0.505 0.505 0.740
Se 0.829 0.829 0.930
Se 0.838 0.838 0.403

---

! PBE Sc2Si2Ge, relaxed; values from VASP
! - crystal system = tetragonal
! - energy above the lowest structure with this stoichiometry (meV per atom) = 196.7
! - ΔE_f (raw) (eV per atom) = -0.394
&SYSTEM
  ibrav = 0, nat = 10, ntyp = 3
/
ATOMIC_SPECIES
Sc 44.96 Sc.upf
Si 28.09 Si.upf
Ge 72.64 Ge.upf
CELL_PARAMETERS angstrom
7.111 0.000 0.000
0.000 7.111 0.000
0.000 0.000 3.875
ATOMIC_POSITIONS crystal
Sc 0.178 0.322 0.000
Sc 0.322 0.822 0.000
Sc 0.678 0.178 0.000
Sc 0.822 0.678 0.000
Si 0.118 0.618 0.500
Si 0.382 0.118 0.500
Si 0.618 0.882 0.500
Si 0.882 0.382 0.500
Ge 0.000 0.000 0.000
Ge 0.500 0.500 0.000